[1]
Material: SrZn2Pd2
Method: DFT, PBE
State: optimized geometry

## Properties
Energy relative to the lowest polymorph listed for this composition, meV per atom: 26
N(E_F), states/eV per cell: 3.04
DFT formation energy, kJ/mol of formula units: -260
Total magnetization, μB/atom: 0.000

Cell lengths 4.3115, 4.3115, 11.0520 Å; angles 90.00, 90.00, 90.00 degrees
Last column: nearest neighbours and their distance in Å.
Space group I4/mmm (No. 139)
Inequivalent atoms, fractional coordinates:
Sr1 0.0000 0.0000 0.0000 x2  8 Pd 3.34, 8 Zn 3.50
Zn1 0.0000 0.5000 0.2500 x4  4 Pd 2.58
Pd1 0.0000 0.0000 0.3775 x4  4 Zn 2.58, 1 Pd 2.71

***

[2]
Material: Sr2Zn6Pd
Method: DFT, PBE
State: optimized geometry

## Properties
N(E_F), states/eV per cell: 2.25
DFT formation energy, kJ/mol of formula units: -252
Total magnetization, μB/atom: 0.000

Cell lengths 6.0067, 6.0067, 5.9433 Å; angles 90.00, 90.00, 120.00 degrees
Last column: nearest neighbours and their distance in Å.
Space group P-3m1 (No. 164)
Inequivalent atoms, fractional coordinates:
Sr1 0.3333 0.6667 0.1533 x2  12 Zn 3.20-3.46
Zn1 0.1731 0.3462 0.6635 x6  4 Zn 2.65-2.89, 1 Pd 2.69
Pd1 0.0000 0.0000 0.0000 x1  6 Zn 2.69

***

[3]
Material: SrZn4Pd
Method: DFT, PBE
State: optimized geometry

## Properties
Energy relative to the lowest polymorph listed for this composition, meV per atom: 0
N(E_F), states/eV per cell: 5.07
DFT formation energy, kJ/mol of formula units: -180
Total magnetization, μB/atom: 0.000

Cell lengths 8.2221, 4.0160, 7.2796 Å; angles 90.00, 90.00, 90.00 degrees
Last column: nearest neighbours and their distance in Å.
Space group Pmma (No. 51)
Inequivalent atoms, fractional coordinates:
Sr1 0.2500 0.0000 0.1023 x2  1 Pd 2.97, 6 Zn 3.22-3.30
Zn1 0.0000 0.0000 0.5000 x2  2 Pd 2.50
Zn2 0.0492 0.5000 0.7730 x4  2 Pd 2.66, 4 Zn 2.85-2.94
Zn3 0.2500 0.5000 0.4487 x2  2 Pd 2.69, 8 Zn 2.88-2.94
Pd1 0.2500 0.0000 0.6944 x2  8 Zn 2.50-2.69

***

[4]
Material: SrZn9Pd2
Method: DFT, PBE
State: optimized geometry

## Properties
Energy relative to the lowest polymorph listed for this composition, meV per atom: 0
N(E_F), states/eV per cell: 20.52
DFT formation energy, kJ/mol of formula units: -389
Total magnetization, μB/atom: 0.000

Cell lengths 10.7268, 10.7268, 7.0456 Å; angles 90.00, 90.00, 90.00 degrees
Last column: nearest neighbours and their distance in Å.
Space group I4_1/amd (No. 141, origin choice 2)
Inequivalent atoms, fractional coordinates:
Sr1 0.0000 0.2500 0.3750 x4  18 Zn 3.38-3.52, 4 Pd 3.76
Zn1 0.0000 0.2500 0.8750 x4  4 Pd 2.82, 8 Zn 2.92
Zn2 0.1225 0.0419 0.6826 x32  7 Zn 2.63-2.92, 2 Pd 2.63-2.66
Pd1 0.0000 0.0000 0.0000 x8  10 Zn 2.63-2.82

***

[5]
Material: SrZn6Pd2
Method: DFT, PBE
State: optimized geometry

## Properties
N(E_F), states/eV per cell: 5.36
DFT formation energy, kJ/mol of formula units: -208
Total magnetization, μB/atom: 0.000

Cell lengths 4.3647, 6.5112, 11.8971 Å; angles 90.00, 90.00, 90.00 degrees
Last column: nearest neighbours and their distance in Å.
Space group Immm (No. 71)
Inequivalent atoms, fractional coordinates:
Sr1 0.0000 0.0000 0.0000 x2  4 Zn 3.01
Zn1 0.0000 0.1814 0.5000 x4  3 Zn 2.36-2.44
Zn2 0.0000 0.2219 0.2963 x8  3 Zn 2.44-2.47, 1 Pd 2.71
Pd1 0.0000 0.5000 0.1267 x4  10 Zn 2.71-2.90, 1 Pd 3.01

***

[6]
Material: Sr3Zn2Pd4
Method: DFT, PBE
State: optimized geometry

## Properties
Energy relative to the lowest polymorph listed for this composition, meV per atom: 35
N(E_F), states/eV per cell: 7.25
DFT formation energy, kJ/mol of formula units: -499
Total magnetization, μB/atom: 0.000

Cell lengths 11.1818, 4.5127, 8.8131 Å; angles 90.00, 108.68, 90.00 degrees
Last column: nearest neighbours and their distance in Å.
Space group C2/m (No. 12)
Inequivalent atoms, fractional coordinates:
Sr1 0.0000 0.0000 0.0000 x2  8 Pd 3.25-3.57
Sr2 0.1308 0.5000 0.6971 x4  7 Pd 3.13-3.33, 4 Zn 3.23-3.34
Zn1 0.1726 0.5000 0.3386 x4  4 Pd 2.56-2.72
Pd1 0.0992 0.0000 0.4269 x4  3 Zn 2.60-2.72, 1 Pd 2.90
Pd2 0.2199 0.5000 0.0724 x4  1 Zn 2.56, 2 Pd 2.78

***

[7]
Material: SrZnPd3
Method: DFT, PBE
State: optimized geometry

## Properties
Energy relative to the lowest polymorph listed for this composition, meV per atom: 47
N(E_F), states/eV per cell: 9.51
DFT formation energy, kJ/mol of formula units: -116
Total magnetization, μB/atom: 0.000

Cell lengths 5.3333, 5.3333, 16.9325 Å; angles 90.00, 90.00, 90.00 degrees
Last column: nearest neighbours and their distance in Å.
Space group I-4m2 (No. 119)
Inequivalent atoms, fractional coordinates:
Sr1 0.0000 0.0000 0.1227 x4  6 Pd 3.00-3.21
Zn1 0.0000 0.0000 0.5000 x2  8 Pd 2.52-2.68
Zn2 0.0000 0.5000 0.7500 x2  4 Pd 2.49
Pd1 0.0000 0.2438 0.6272 x8  2 Zn 2.49-2.52, 2 Pd 2.60-2.73
Pd2 0.0000 0.5000 0.0173 x4  2 Zn 2.68, 2 Pd 2.80

***

[8]
Material: Sr2ZnPd2
Method: DFT, PBE
State: optimized geometry

## Properties
N(E_F), states/eV per cell: 9.15
DFT formation energy, kJ/mol of formula units: -291
Total magnetization, μB/atom: 0.000

Cell lengths 10.2545, 5.9479, 8.2829 Å; angles 90.00, 103.19, 90.00 degrees
Last column: nearest neighbours and their distance in Å.
Space group C2/c (No. 15)
Inequivalent atoms, fractional coordinates:
Sr1 0.1500 0.1355 0.1498 x8  6 Pd 3.17-3.31, 2 Zn 3.43-3.50
Zn1 0.0000 0.3860 0.7500 x4  4 Pd 2.66
Pd1 0.1284 0.3681 0.5056 x8  2 Zn 2.66, 1 Pd 2.88

***

- N(E_F) of number 7 (SrZnPd3)?
  9.51 states/eV per cell

***

- N(E_F) of number 3 (SrZn4Pd)?
  5.07 states/eV per cell

***

- Which of these has the highest N(E_F)?
  SrZn9Pd2